The following is a PBE calculation of a relaxed Rb12Na3Br5 crystal, from Alexandria.

```
80
Lattice="-16.546 6.585 7.123 -1.310 -18.936 -2.752 14.200 3.699 12.351" Properties=species:S:1:pos:R:3 pbc="T T T"
Na -5.344 0.768 8.396
Br 2.275 -11.992 3.458
Br -1.828 -4.326 8.361
Rb -3.416 -2.320 10.828
Br -1.173 5.142 9.737
Br 0.000 0.000 0.000
Rb -8.253 1.941 11.312
Rb -5.039 -11.333 6.783
Rb -7.298 0.053 4.652
Rb 1.249 -2.037 2.631
Rb 4.973 -0.994 6.015
Na 1.688 -9.421 8.327
Rb -10.605 -10.808 7.009
Br -4.757 -1.802 3.527
Na 7.470 -6.953 10.868
Rb -9.893 -5.793 5.585
Rb -4.710 -6.277 7.639
Na 10.029 -0.675 11.009
Rb 4.725 -6.344 7.637
Rb -3.158 2.770 11.488
Rb -2.200 3.381 6.825
Na -11.126 -1.700 5.854
Rb 2.823 -15.226 2.821
Rb -2.618 7.630 17.124
Br -8.273 3.292 3.562
Rb -8.628 -7.659 10.707
Na 7.436 -12.972 7.746
Rb -0.612 2.511 16.085
Na -4.680 -9.319 10.654
Rb -1.455 -12.034 9.897
Rb 10.777 3.027 13.031
Rb -2.458 -1.914 15.887
Rb 1.986 -3.751 14.076
Br -7.937 -11.529 5.132
Rb -5.642 -4.901 2.646
Rb -7.377 4.322 6.844
Na -13.685 -7.978 5.713
Rb -11.417 2.489 5.012
Na 1.025 0.666 6.068
Rb -14.371 -4.142 7.491
Rb 1.055 -2.376 9.084
Rb 6.950 2.155 9.714
Br -8.928 -6.176 2.186
Br -5.930 3.339 13.264
Rb -2.666 -1.689 6.130
Rb -1.197 -6.738 0.835
Br 7.100 1.849 6.175
Br 0.991 -5.353 2.946
Br -0.655 -9.468 -1.376
Rb -0.990 -6.963 10.592
Rb -0.497 -11.422 5.234
Rb 3.762 0.708 14.078
Rb -3.044 -11.164 0.637
Na -0.182 -0.212 12.683
Na -3.473 -8.441 4.039
Br 1.102 -6.850 13.195
Rb 3.722 -12.975 9.879
Br -3.507 -14.461 0.917
Rb -6.478 6.573 13.901
Na -11.091 4.319 8.976
Rb -12.396 0.280 9.547
Br 4.282 2.876 11.590
Rb 4.597 -10.593 5.410
Rb -8.381 -2.309 9.085
Rb 3.642 -8.706 12.070
Rb -7.417 -9.360 2.644
Br -7.903 -5.510 8.254
Br -4.646 -3.299 13.776
Rb 10.715 -4.510 9.232
Rb 1.384 2.681 9.939
Rb -14.432 -11.680 3.691
Br -0.148 5.808 15.805
Rb 6.237 -2.860 11.137
Rb -4.904 -6.615 14.091
Rb -0.239 -6.333 5.894
Br 6.445 -7.619 4.800
Rb 8.740 -8.932 7.175
Rb 7.762 -11.142 11.710
Rb -1.037 -16.283 -0.402
Br 4.247 -3.143 8.468
```

10
Lattice="-4.329 -4.494 -7.797 7.956 -5.955 -0.985 -1.740 -2.746 2.549" Properties=species:S:1:pos:R:3 comment="Rb2NaBr2 (PBE, relaxed)" polymorph_energy_mev_per_atom=79.4 pbc="T T T"
Br 3.660 -5.941 -0.555
Rb 2.225 -2.769 -1.465
Rb 1.402 -7.680 -7.318
Rb -1.647 -3.738 -5.152
Br -1.773 -7.254 -5.678
Br 3.052 -9.353 -4.646
Na 1.814 -5.225 -4.391
Na 0.000 0.000 0.000
Rb 5.274 -6.711 -3.630
Br -1.165 -3.843 -1.587

The following is a PBE calculation of a relaxed Rb2NaBr7 crystal, from Alexandria.

```
10
Lattice="-1.267 7.115 -4.131 -4.494 -4.100 -5.683 -7.424 2.407 -1.963" Properties=species:S:1:pos:R:3 pbc="T T T"
Br -5.332 1.993 -3.318
Br -3.658 -1.195 -5.281
Br -4.269 2.234 -7.271
Br 0.000 0.000 0.000
Br -7.852 3.429 -8.458
Rb -5.786 5.515 -5.500
Br -1.492 0.781 -2.542
Br -2.103 4.210 -4.533
Rb -7.399 -0.092 -6.276
Na -2.880 1.508 -4.907
```

Looking at ΔE_f (raw) for the records above, in order, we have -17.54; -26.68; -18.69 kcal/mol of atoms.